A | TbPu2Au PBE optimized geometry; DOS(E_F) = 17.6 states/eV per cell; volume = 109.4 Å³/f.u.; space group = R-3m, No. 166; total moment = 11.72 μB per cell
1.0
-1.0034 1.4361 -2.9677
1.6236 -0.7942 -2.9342
-6.5887 -7.8137 -3.5545
Tb Au Pu
1 1 2
direct
0.5000 0.5000 0.5000
0.0000 0.0000 0.0000
0.2587 0.2587 0.2238
0.7413 0.7413 0.7762



B | TbPu2Au PBE optimized geometry; DOS(E_F) = 10.1 states/eV per cell; volume = 99.8 Å³/f.u.; space group = P4/mmm, No. 123; total moment = 12.48 μB per cell
1.0
5.3554 0.0000 0.0000
0.0000 4.3161 0.0000
0.0000 0.0000 4.3161
Tb Au Pu
1 1 2
direct
0.5000 0.5000 0.5000
0.5000 0.0000 0.0000
0.0000 0.0000 0.5000
0.0000 0.5000 0.0000



Stability comparison, relative energies in meV per atom: A 234; B 0



A | TbPuAu2 PBE optimized geometry; DOS(E_F) = 15.9 states/eV per cell; volume = 107.8 Å³/f.u.; space group = R-3m, No. 166; total moment = 5.93 μB per cell
1.0
4.1083 0.0000 0.0000
2.0541 3.5579 0.0000
2.0541 1.1860 7.3764
Tb Au Pu
1 2 1
direct
0.0000 0.0000 0.0000
0.7473 0.7473 0.7580
0.2527 0.2527 0.2420
0.5000 0.5000 0.5000



B | TbPuAu2 PBE optimized geometry; DOS(E_F) = 10.4 states/eV per cell; volume = 95.3 Å³/f.u.; space group = P4/mmm, No. 123; total moment = 5.69 μB per cell
1.0
3.5960 0.0000 0.0000
0.0000 3.5960 0.0000
0.0000 0.0000 7.3663
Tb Au Pu
1 2 1
direct
0.5000 0.5000 0.5000
0.0000 0.0000 0.7347
0.0000 0.0000 0.2653
0.5000 0.5000 0.0000



C | TbPuAu2 PBE optimized geometry; DOS(E_F) = 11.5 states/eV per cell; volume = 95.8 Å³/f.u.; space group = Fm-3m, No. 225; total moment = 5.71 μB per cell
1.0
-3.7992 -1.6320 3.0477
-0.5735 -5.0199 0.9258
1.0732 -1.8926 4.6532
Tb Au Pu
1 2 1
direct
0.0000 0.0000 0.0000
0.2500 0.2500 0.2500
0.7500 0.7500 0.7500
0.5000 0.5000 0.5000



Stability comparison, relative energies in meV per atom: A 158; B 0; C 33



A | Pu2Te4Au PBE optimized geometry; DOS(E_F) = 49.9 states/eV per cell; volume = 204.3 Å³/f.u.; space group = P2_1/m, No. 11; total moment = 20.38 μB per cell
1.0
7.7473 0.0000 0.1754
0.0000 6.2730 0.0000
-2.6382 0.0000 8.3489
Pu Te Au
4 8 2
direct
0.7808 0.7500 0.0667
0.2192 0.2500 0.9333
0.2616 0.2500 0.4323
0.7384 0.7500 0.5677
0.5284 0.4934 0.2509
0.0699 0.7500 0.8630
0.9301 0.2500 0.1370
0.5284 0.0066 0.2509
0.9333 0.2500 0.5814
0.4716 0.9934 0.7491
0.4716 0.5066 0.7491
0.0667 0.7500 0.4186
0.2191 0.7500 0.1791
0.7809 0.2500 0.8209



B | Pu2Te4Au PBE optimized geometry; DOS(E_F) = 50.4 states/eV per cell; volume = 212.3 Å³/f.u.; space group = P2_1/m, No. 11; total moment = 0.27 μB per cell
1.0
-3.0679 -4.9116 -2.2360
6.2798 -3.8058 -0.2564
-3.0860 -2.0521 8.7418
Pu Te Au
4 8 2
direct
0.2500 0.1974 0.8889
0.7500 0.8026 0.1111
0.7500 0.7684 0.5618
0.2500 0.2316 0.4382
0.5085 0.4566 0.7104
0.2500 0.9600 0.1305
0.7500 0.0400 0.8695
0.9915 0.4566 0.7104
0.7500 0.0964 0.3972
0.0085 0.5434 0.2896
0.4915 0.5434 0.2896
0.2500 0.9036 0.6028
0.2500 0.6638 0.9211
0.7500 0.3362 0.0789



Stability comparison, relative energies in meV per atom: A 0; B 37